# 1
Below is a relaxed structure of TiHF3, with properties calculated at the PBE level.

The space group is Pm-3m (No. 221) and the conventional cell measures 3.965, 3.965 and 3.965 Å, with angles of 90.00, 90.00 and 90.00 degrees. The asymmetric unit holds Ti at (0.000, 0.000, 0.000), H at (0.500, 0.500, 0.500) and F at (0.000, 0.000, 0.500).

Its electronic total energy is -27.91 eV per formula unit. Its polymorph energy (0 for the lowest one) is 47.2 kJ/mol of formula units. Its density of states at the Fermi level is 2.494 states/eV/cell.

=====

# 2
Below is a relaxed structure of HfTe2CI, with properties calculated at the PBE level.

The space group is P4/mmm (No. 123) and the conventional cell measures 4.783, 4.783 and 4.850 Å, with angles of 90.00, 90.00 and 90.00 degrees. The asymmetric unit holds Hf at (0.000, 0.000, 0.000), Te at (0.000, 0.500, 0.500), C at (0.500, 0.500, 0.500) and I at (0.500, 0.500, 0.000).

As for the formation energy without anion corrections: 983 meV/atom. Its electronic total energy is -22.10 eV per formula unit. Its polymorph energy (0 for the lowest one) is 0.0 kJ/mol of formula units. Its density of states at the Fermi level is 3.325 states/eV/cell.

=====

Across the entries above, spin magnetization takes the values 2.00 0.00 μB per formula unit, respectively.